No. 1
Below is crystalline AcMg2Au4 at its relaxed geometry, with properties calculated at the PBE level.

Properties
- V (A^3/atom) = 21.23
- crystal system = tetragonal
- SG = No. 139

Cell: 7.2221 7.2221 5.6981 Å, 90.00 90.00 90.00°
Element x y z (fractional)
Ac (0.0000, 0.0000, 0.0000)
Ac (0.5000, 0.5000, 0.5000)
Mg (0.0000, 0.5000, 0.2500)
Mg (0.0000, 0.5000, 0.7500)
Mg (0.5000, 0.0000, 0.2500)
Mg (0.5000, 0.0000, 0.7500)
Au (0.1965, 0.1965, 0.5000)
Au (0.1965, 0.8035, 0.5000)
Au (0.3035, 0.3035, 0.0000)
Au (0.3035, 0.6965, 0.0000)
Au (0.6965, 0.3035, 0.0000)
Au (0.6965, 0.6965, 0.0000)
Au (0.8035, 0.1965, 0.5000)
Au (0.8035, 0.8035, 0.5000)


No. 2
Below is crystalline AcMg4Au2 at its relaxed geometry, with properties calculated at the PBE level.

Properties
- V (A^3/atom) = 23.09
- crystal system = tetragonal
- SG = No. 136

Cell: 8.4836 8.4836 4.4922 Å, 90.00 90.00 90.00°
Element x y z (fractional)
Ac (0.0000, 0.0000, 0.0000)
Ac (0.5000, 0.5000, 0.5000)
Mg (0.0863, 0.3378, 0.5000)
Mg (0.1622, 0.5863, 0.0000)
Mg (0.3378, 0.0863, 0.5000)
Mg (0.4137, 0.8378, 0.0000)
Mg (0.5863, 0.1622, 0.0000)
Mg (0.6622, 0.9137, 0.5000)
Mg (0.8378, 0.4137, 0.0000)
Mg (0.9137, 0.6622, 0.5000)
Au (0.2187, 0.7813, 0.5000)
Au (0.2813, 0.2813, 0.0000)
Au (0.7187, 0.7187, 0.0000)
Au (0.7813, 0.2187, 0.5000)


No. 3
Below is crystalline AcMgAu at its relaxed geometry, with properties calculated at the PBE level.

Properties
- V (A^3/atom) = 33.82
- crystal system = cubic
- SG = No. 216

Cell: 7.4035 7.4035 7.4035 Å, 90.00 90.00 90.00°
Element x y z (fractional)
Ac (0.0000, 0.0000, 0.0000)
Ac (0.0000, 0.5000, 0.5000)
Ac (0.5000, 0.0000, 0.5000)
Ac (0.5000, 0.5000, 0.0000)
Mg (0.2500, 0.2500, 0.2500)
Mg (0.2500, 0.7500, 0.7500)
Mg (0.7500, 0.2500, 0.7500)
Mg (0.7500, 0.7500, 0.2500)
Au (0.2500, 0.2500, 0.7500)
Au (0.2500, 0.7500, 0.2500)
Au (0.7500, 0.2500, 0.2500)
Au (0.7500, 0.7500, 0.7500)


No. 4
Below is crystalline AcMoAu at its relaxed geometry, with properties calculated at the PBE level.

Properties
- V (A^3/atom) = 29.52
- crystal system = cubic
- SG = No. 216
- energy of formation from the pure elements (eV/atom) = 1.07

Cell: 7.0758 7.0758 7.0758 Å, 90.00 90.00 90.00°
Element x y z (fractional)
Ac (0.0000, 0.0000, 0.0000)
Ac (0.0000, 0.5000, 0.5000)
Ac (0.5000, 0.0000, 0.5000)
Ac (0.5000, 0.5000, 0.0000)
Mo (0.2500, 0.2500, 0.2500)
Mo (0.2500, 0.7500, 0.7500)
Mo (0.7500, 0.2500, 0.7500)
Mo (0.7500, 0.7500, 0.2500)
Au (0.2500, 0.2500, 0.7500)
Au (0.2500, 0.7500, 0.2500)
Au (0.7500, 0.2500, 0.2500)
Au (0.7500, 0.7500, 0.7500)


No. 5
Below is crystalline AcAuNO at its relaxed geometry, with properties calculated at the PBE level.

Properties
- V (A^3/atom) = 17.44
- crystal system = tetragonal
- SG = No. 129

Cell: 4.1464 4.1464 8.1147 Å, 90.00 90.00 90.00°
Element x y z (fractional)
Ac (0.2500, 0.2500, 0.1611)
Ac (0.7500, 0.7500, 0.8389)
Au (0.2500, 0.7500, 0.5000)
Au (0.7500, 0.2500, 0.5000)
N (0.2500, 0.2500, 0.6443)
N (0.7500, 0.7500, 0.3557)
O (0.2500, 0.7500, 0.0000)
O (0.7500, 0.2500, 0.0000)


No. 6
Below is crystalline AcAuNO at its relaxed geometry, with properties calculated at the PBE level.

Properties
- V (A^3/atom) = 17.41
- crystal system = orthorhombic
- SG = No. 29

Cell: 6.5222 6.6112 6.4588 Å, 90.00 90.00 90.00°
Element x y z (fractional)
Ac (0.0170, 0.2064, 0.0000)
Ac (0.4830, 0.2064, 0.5000)
Ac (0.5170, 0.7936, 0.0000)
Ac (0.9830, 0.7936, 0.5000)
Au (0.0232, 0.6989, 0.0134)
Au (0.4768, 0.6989, 0.5134)
Au (0.5232, 0.3011, 0.0134)
Au (0.9768, 0.3011, 0.5134)
N (0.1613, 0.4531, 0.3241)
N (0.3387, 0.4531, 0.8241)
N (0.6613, 0.5469, 0.3241)
N (0.8387, 0.5469, 0.8241)
O (0.1942, 0.9210, 0.1854)
O (0.3058, 0.9210, 0.6854)
O (0.6942, 0.0790, 0.1854)
O (0.8058, 0.0790, 0.6854)


No. 7
Below is crystalline AcAuNO at its relaxed geometry, with properties calculated at the PBE level.

Properties
- V (A^3/atom) = 22.69
- crystal system = orthorhombic
- SG = No. 26

Cell: 4.5995 7.6660 5.1470 Å, 90.00 90.00 90.00°
Element x y z (fractional)
Ac (0.0000, 0.1769, 0.0000)
Ac (0.0000, 0.8231, 0.5000)
Au (0.5000, 0.4831, 0.6557)
Au (0.5000, 0.5169, 0.1557)
N (0.5000, 0.2996, 0.9298)
N (0.5000, 0.7004, 0.4298)
O (0.0000, 0.1191, 0.4860)
O (0.0000, 0.8809, 0.9860)


No. 8
Below is crystalline AcAuNO at its relaxed geometry, with properties calculated at the PBE level.

Properties
- V (A^3/atom) = 16.50
- crystal system = tetragonal
- SG = No. 129

Cell: 5.2383 5.2383 4.8117 Å, 90.00 90.00 90.00°
Element x y z (fractional)
Ac (0.2500, 0.7500, 0.0000)
Ac (0.7500, 0.2500, 0.0000)
Au (0.2500, 0.2500, 0.4956)
Au (0.7500, 0.7500, 0.5044)
N (0.2500, 0.2500, 0.9954)
N (0.7500, 0.7500, 0.0046)
O (0.2500, 0.7500, 0.5000)
O (0.7500, 0.2500, 0.5000)


No. 9
Below is crystalline AcAuNO at its relaxed geometry, with properties calculated at the PBE level.

Properties
- V (A^3/atom) = 17.08
- crystal system = tetragonal
- SG = No. 123

Cell: 3.8101 3.8101 4.7064 Å, 90.00 90.00 90.00°
Element x y z (fractional)
Ac (0.0000, 0.0000, 0.0000)
Au (0.5000, 0.5000, 0.5000)
N (0.5000, 0.5000, 0.0000)
O (0.0000, 0.0000, 0.5000)


No. 10
Below is crystalline AcAuNO at its relaxed geometry, with properties calculated at the PBE level.

Properties
- V (A^3/atom) = 17.91
- crystal system = orthorhombic
- SG = No. 26

Cell: 3.8056 6.0013 6.2732 Å, 90.00 90.00 90.00°
Element x y z (fractional)
Ac (0.0000, 0.1448, 0.0000)
Ac (0.0000, 0.8552, 0.5000)
Au (0.5000, 0.4031, 0.5836)
Au (0.5000, 0.5969, 0.0836)
N (0.0000, 0.3786, 0.5931)
N (0.0000, 0.6214, 0.0931)
O (0.5000, 0.0312, 0.2466)
O (0.5000, 0.9688, 0.7466)


No. 11
Below is crystalline NaAcAu at its relaxed geometry, with properties calculated at the PBE level.

Properties
- V (A^3/atom) = 33.14
- crystal system = cubic
- SG = No. 216

Cell: 7.3537 7.3537 7.3537 Å, 90.00 90.00 90.00°
Element x y z (fractional)
Na (0.0000, 0.0000, 0.0000)
Na (0.0000, 0.5000, 0.5000)
Na (0.5000, 0.0000, 0.5000)
Na (0.5000, 0.5000, 0.0000)
Ac (0.0000, 0.0000, 0.5000)
Ac (0.0000, 0.5000, 0.0000)
Ac (0.5000, 0.0000, 0.0000)
Ac (0.5000, 0.5000, 0.5000)
Au (0.2500, 0.2500, 0.7500)
Au (0.2500, 0.7500, 0.2500)
Au (0.7500, 0.2500, 0.2500)
Au (0.7500, 0.7500, 0.7500)


No. 12
Below is crystalline NaAcAu at its relaxed geometry, with properties calculated at the PBE level.

Properties
- V (A^3/atom) = 34.27
- crystal system = cubic
- SG = No. 216

Cell: 7.4367 7.4367 7.4367 Å, 90.00 90.00 90.00°
Element x y z (fractional)
Na (0.0000, 0.0000, 0.0000)
Na (0.0000, 0.5000, 0.5000)
Na (0.5000, 0.0000, 0.5000)
Na (0.5000, 0.5000, 0.0000)
Ac (0.2500, 0.2500, 0.7500)
Ac (0.2500, 0.7500, 0.2500)
Ac (0.7500, 0.2500, 0.2500)
Ac (0.7500, 0.7500, 0.7500)
Au (0.0000, 0.0000, 0.5000)
Au (0.0000, 0.5000, 0.0000)
Au (0.5000, 0.0000, 0.0000)
Au (0.5000, 0.5000, 0.5000)


No. 13
Below is crystalline NaAcTe2Au2 at its relaxed geometry, with properties calculated at the PBE level.

Properties
- V (A^3/atom) = 29.96
- crystal system = monoclinic
- SG = No. 6

Cell: 10.1265 4.6523 15.7478 Å, 90.00 104.29 90.00°
Element x y z (fractional)
Na (0.0000, 0.0000, 0.0000)
Na (0.1014, 0.5000, 0.7355)
Na (0.3623, 0.5000, 0.2117)
Na (0.8618, 0.5000, 0.2297)
Ac (0.2463, 0.0000, 0.4970)
Ac (0.4842, 0.0000, 0.9955)
Ac (0.6228, 0.5000, 0.7636)
Ac (0.7328, 0.0000, 0.4833)
Te (0.1304, 0.0000, 0.2355)
Te (0.2180, 0.5000, 0.9744)
Te (0.3569, 0.0000, 0.7645)
Te (0.4665, 0.5000, 0.4427)
Te (0.6536, 0.0000, 0.2581)
Te (0.7955, 0.5000, 0.0162)
Te (0.8862, 0.0000, 0.7587)
Te (0.9855, 0.5000, 0.4694)
Au (0.0674, 0.5000, 0.1256)
Au (0.1554, 0.0000, 0.8666)
Au (0.3147, 0.5000, 0.6317)
Au (0.4071, 0.0000, 0.3325)
Au (0.5762, 0.5000, 0.1274)
Au (0.7107, 0.0000, 0.8950)
Au (0.7968, 0.5000, 0.6209)
Au (0.9453, 0.0000, 0.3462)


No. 14
Below is crystalline AcNdAu at its relaxed geometry, with properties calculated at the PBE level.

Properties
- V (A^3/atom) = 31.83
- crystal system = cubic
- SG = No. 216
- energy of formation from the pure elements (eV/atom) = 0.10

Cell: 7.2558 7.2558 7.2558 Å, 90.00 90.00 90.00°
Element x y z (fractional)
Ac (0.0000, 0.0000, 0.0000)
Ac (0.0000, 0.5000, 0.5000)
Ac (0.5000, 0.0000, 0.5000)
Ac (0.5000, 0.5000, 0.0000)
Nd (0.2500, 0.2500, 0.2500)
Nd (0.2500, 0.7500, 0.7500)
Nd (0.7500, 0.2500, 0.7500)
Nd (0.7500, 0.7500, 0.2500)
Au (0.0000, 0.0000, 0.5000)
Au (0.0000, 0.5000, 0.0000)
Au (0.5000, 0.0000, 0.0000)
Au (0.5000, 0.5000, 0.5000)


No. 15
Below is crystalline AcNiAu at its relaxed geometry, with properties calculated at the PBE level.

Properties
- V (A^3/atom) = 25.03
- crystal system = cubic
- SG = No. 216
- energy of formation from the pure elements (eV/atom) = -0.41

Cell: 6.6966 6.6966 6.6966 Å, 90.00 90.00 90.00°
Element x y z (fractional)
Ac (0.0000, 0.0000, 0.0000)
Ac (0.0000, 0.5000, 0.5000)
Ac (0.5000, 0.0000, 0.5000)
Ac (0.5000, 0.5000, 0.0000)
Ni (0.2500, 0.2500, 0.2500)
Ni (0.2500, 0.7500, 0.7500)
Ni (0.7500, 0.2500, 0.7500)
Ni (0.7500, 0.7500, 0.2500)
Au (0.0000, 0.0000, 0.5000)
Au (0.0000, 0.5000, 0.0000)
Au (0.5000, 0.0000, 0.0000)
Au (0.5000, 0.5000, 0.5000)


No. 16
Below is crystalline Ac2Au2O5 at its relaxed geometry, with properties calculated at the PBE level.

Properties
- V (A^3/atom) = 14.97
- crystal system = tetragonal
- SG = No. 123

Cell: 4.2704 4.2704 7.3902 Å, 90.00 90.00 90.00°
Element x y z (fractional)
Ac (0.0000, 0.0000, 0.0000)
Ac (0.0000, 0.0000, 0.5000)
Au (0.5000, 0.5000, 0.1960)
Au (0.5000, 0.5000, 0.8040)
O (0.0000, 0.5000, 0.2261)
O (0.0000, 0.5000, 0.7739)
O (0.5000, 0.0000, 0.2261)
O (0.5000, 0.0000, 0.7739)
O (0.5000, 0.5000, 0.5000)


No. 17
Below is crystalline Ac2Au2O5 at its relaxed geometry, with properties calculated at the PBE level.

Properties
- V (A^3/atom) = 18.18
- crystal system = tetragonal
- SG = No. 123

Cell: 4.0741 4.0741 9.8595 Å, 90.00 90.00 90.00°
Element x y z (fractional)
Ac (0.0000, 0.0000, 0.2461)
Ac (0.0000, 0.0000, 0.7539)
Au (0.5000, 0.5000, 0.0000)
Au (0.5000, 0.5000, 0.5000)
O (0.0000, 0.0000, 0.0000)
O (0.0000, 0.5000, 0.3707)
O (0.0000, 0.5000, 0.6293)
O (0.5000, 0.0000, 0.3707)
O (0.5000, 0.0000, 0.6293)


No. 18
Below is crystalline AcPAuO at its relaxed geometry, with properties calculated at the PBE level.

Properties
- V (A^3/atom) = 19.93
- crystal system = tetragonal
- SG = No. 129

Cell: 4.3127 4.3127 8.5722 Å, 90.00 90.00 90.00°
Element x y z (fractional)
Ac (0.2500, 0.2500, 0.1444)
Ac (0.7500, 0.7500, 0.8556)
P (0.2500, 0.2500, 0.6604)
P (0.7500, 0.7500, 0.3396)
Au (0.2500, 0.7500, 0.5000)
Au (0.7500, 0.2500, 0.5000)
O (0.2500, 0.7500, 0.0000)
O (0.7500, 0.2500, 0.0000)


No. 19
Below is crystalline AcPAuO at its relaxed geometry, with properties calculated at the PBE level.

Properties
- V (A^3/atom) = 24.57
- crystal system = orthorhombic
- SG = No. 26

Cell: 4.0318 7.7220 6.3126 Å, 90.00 90.00 90.00°
Element x y z (fractional)
Ac (0.0000, 0.2413, 0.0000)
Ac (0.0000, 0.7587, 0.5000)
P (0.0000, 0.1581, 0.4998)
P (0.0000, 0.8419, 0.9998)
Au (0.5000, 0.3216, 0.4979)
Au (0.5000, 0.6784, 0.9979)
O (0.5000, 0.3818, 0.9944)
O (0.5000, 0.6182, 0.4944)


No. 20
Below is crystalline AcPAuO at its relaxed geometry, with properties calculated at the PBE level.

Properties
- V (A^3/atom) = 20.56
- crystal system = orthorhombic
- SG = No. 26

Cell: 5.3888 4.2117 7.2457 Å, 90.00 90.00 90.00°
Element x y z (fractional)
Ac (0.0000, 0.2455, 0.0000)
Ac (0.0000, 0.7545, 0.5000)
P (0.5000, 0.2444, 0.6721)
P (0.5000, 0.7556, 0.1721)
Au (0.5000, 0.2565, 0.3379)
Au (0.5000, 0.7435, 0.8379)
O (0.0000, 0.2554, 0.3341)
O (0.0000, 0.7446, 0.8341)


| no. | E_tot (eV per cell) |
| --- | --- |
| 1 | -50.5 |
| 2 | -41.3 |
| 3 | -34.8 |
| 4 | -60.1 |
| 5 | -48.6 |
| 6 | -97.2 |
| 7 | -49.3 |
| 8 | -46.8 |
| 9 | -23.5 |
| 10 | -49.2 |
| 11 | -39.4 |
| 12 | -34.1 |
| 13 | -89.8 |
| 14 | -47.3 |
| 15 | -56.7 |
| 16 | -53.9 |
| 17 | -50.6 |
| 18 | -48.6 |
| 19 | -45.5 |
| 20 | -47.1 |